VASP calculation (PBE+U) on a relaxed structure of HoScV2O8.

abc: 5.878 5.878 5.878
angles: 106.46 106.46 115.68
Fractional coordinates of all 12 atoms:
Ho: 0.000 0.000 0.000
Sc: 0.750 0.250 0.500
V: 0.250 0.750 0.500
V: 0.500 0.500 0.000
O: 0.067 0.382 0.315
O: 0.067 0.752 0.685
O: 0.133 0.325 0.807
O: 0.248 0.933 0.315
O: 0.518 0.325 0.193
O: 0.618 0.933 0.685
O: 0.675 0.482 0.807
O: 0.675 0.867 0.193

Computed properties:
electronic total energy: -97.257 eV for the cell shown